Compound: HfTiCd2
Source: Alexandria via LeMat-Bulk
Functional: PBE-GGA
Structure: relaxed

```
data_HfTiCd2
_chemical_formula_sum 'Hf1 Ti1 Cd2'
_cell_length_a 3.396
_cell_length_b 3.396
_cell_length_c 6.929
_cell_angle_alpha 90.00
_cell_angle_beta 90.00
_cell_angle_gamma 90.00
_space_group_name_H-M_alt 'P 4/m m m'
_space_group_IT_number 123
_space_group_name_Hall '-P 4 2'
loop_
_atom_site_label
_atom_site_type_symbol
_atom_site_fract_x
_atom_site_fract_y
_atom_site_fract_z
Hf1 Hf 0.000 0.000 0.000
Ti1 Ti 0.000 0.000 0.500
Cd1 Cd 0.500 0.500 0.265
```

Computed properties:
The value obtained for the magnetic moment is 0.00 μB per formula unit.



Compound: LaYTc2Hg
Source: Alexandria via LeMat-Bulk
Functional: PBE-GGA
Structure: relaxed

```
data_LaYTc2Hg
_chemical_formula_sum 'La1 Y1 Tc2 Hg1'
_cell_length_a 4.968
_cell_length_b 4.968
_cell_length_c 5.500
_cell_angle_alpha 90.00
_cell_angle_beta 90.00
_cell_angle_gamma 90.00
_space_group_name_H-M_alt 'P 4/m m m'
_space_group_IT_number 123
_space_group_name_Hall '-P 4 2'
loop_
_atom_site_label
_atom_site_type_symbol
_atom_site_fract_x
_atom_site_fract_y
_atom_site_fract_z
La1 La 0.000 0.000 0.000
Y1 Y 0.500 0.500 0.500
Tc1 Tc 0.000 0.500 0.500
Hg1 Hg 0.500 0.500 0.000
```

Computed properties:
The value obtained for the magnetic moment is 2.35 μB per formula unit.



Compound: Ca3Al4Cu2
Source: Alexandria via LeMat-Bulk
Functional: PBE-GGA
Structure: relaxed

```
data_Ca3Al4Cu2
_chemical_formula_sum 'Ca6 Al8 Cu4'
_cell_length_a 10.659
_cell_length_b 4.483
_cell_length_c 8.535
_cell_angle_alpha 90.00
_cell_angle_beta 102.87
_cell_angle_gamma 90.00
_space_group_name_H-M_alt 'C 1 2/m 1'
_space_group_IT_number 12
loop_
_space_group_symop_operation_xyz
'x,y,z'
'-x,-y,-z'
'-x,y,-z'
'x,-y,z'
'x+1/2,y+1/2,z'
'-x+1/2,-y+1/2,-z'
'-x+1/2,y+1/2,-z'
'x+1/2,-y+1/2,z'
loop_
_atom_site_label
_atom_site_type_symbol
_atom_site_fract_x
_atom_site_fract_y
_atom_site_fract_z
Ca1 Ca 0.000 0.000 0.000
Ca2 Ca 0.116 0.500 0.697
Al1 Al 0.113 0.000 0.430
Al2 Al 0.222 0.500 0.077
Cu1 Cu 0.180 0.500 0.348
```

Computed properties:
The value obtained for the magnetic moment is 0.00 μB per formula unit.



The records above give, respectively, formation energy values of 83, 1111, -233 meV/atom.